Material: RbZrBeAs2
Method: DFT, PBE
State: relaxed

Calculated values
symmetry = No. 123
ΔH_f (0 K) = 0.72 eV/atom

Unit cell a=4.7901 b=4.7806 c=4.7901 alpha=90.00 beta=90.00 gamma=90.00
Sites, in units of the cell vectors:
Be  0.0000  0.0000  0.0000
Zr  0.5000  0.5000  0.5000
As  0.5000  0.0000  0.0000
As  0.0000  0.0000  0.5000
Rb  0.0000  0.5000  0.0000

=====

Material: PrZn2Hg2
Method: DFT, PBE
State: relaxed

Calculated values
symmetry = No. 69
ΔH_f (0 K) = -0.27 eV/atom

Unit cell a=4.5013 b=4.5013 c=6.3685 alpha=110.64 beta=110.64 gamma=90.14
Sites, in units of the cell vectors:
Zn  0.6086  0.6086  0.2172
Zn  0.3914  0.3914  0.7828
Pr  0.0000  0.0000  0.0000
Hg  0.2500  0.7500  0.5000
Hg  0.7500  0.2500  0.5000

=====

Material: Pa2InCN5
Method: DFT, PBE
State: relaxed

Calculated values
symmetry = No. 127
raw total energy = -147.1 eV/cell

Unit cell a=5.1588 b=6.6523 c=6.6523 alpha=90.00 beta=90.00 gamma=90.00
Sites, in units of the cell vectors:
N  0.7763  0.6193  0.8807
N  0.5000  0.5000  0.5000
N  0.7763  0.1193  0.6193
N  0.7763  0.3807  0.1193
N  0.2237  0.1193  0.6193
N  0.2237  0.6193  0.8807
N  0.2237  0.8807  0.3807
N  0.2237  0.3807  0.1193
N  0.7763  0.8807  0.3807
N  0.5000  0.0000  0.0000
Pa  0.5000  0.8108  0.6892
Pa  0.5000  0.1892  0.3108
Pa  0.5000  0.3108  0.8108
Pa  0.5000  0.6892  0.1892
In  0.0000  0.5000  0.5000
In  0.0000  0.0000  0.0000
C  0.0000  0.0000  0.5000
C  0.0000  0.5000  0.0000

=====

Material: Cr2InSb
Method: DFT, PBE
State: relaxed

Calculated values
symmetry = No. 38
raw total energy = -24.6 eV/cell

Unit cell a=4.1408 b=3.3657 c=5.4981 alpha=72.17 beta=90.00 gamma=90.00
Sites, in units of the cell vectors:
Sb  0.5000  0.7825  0.8100
Cr  0.0000  0.1861  0.0023
Cr  0.5000  0.0665  0.2424
In  0.0000  0.4649  0.4452

=====

Material: CaCe2Zn
Method: DFT, PBE
State: relaxed

Calculated values
symmetry = No. 166
ΔH_f (0 K) = 0.14 eV/atom

Unit cell a=3.5063 b=3.5063 c=11.3841 alpha=81.14 beta=81.14 gamma=60.00
Sites, in units of the cell vectors:
Zn  0.0000  0.0000  0.0000
Ca  0.5000  0.5000  0.5000
Ce  0.7360  0.7360  0.7921
Ce  0.2640  0.2640  0.2079

=====

| no. | total magnetic moment (μB per atom) |
| --- | --- |
| 1 | 0.316 |
| 2 | 0.000 |
| 3 | 0.000 |
| 4 | 0.026 |
| 5 | 0.561 |